{"formula": "LiTa2HgGe", "functional": "PBEsol", "state": "relaxed", "cell": [[4.7845, 0.0000, 0.0000], [0.0000, 4.7845, 0.0000], [0.0000, 0.0000, 4.9904]], "species": ["Li", "Ta", "Ta", "Hg", "Ge"], "fractional_positions": [[0.0000, 0.0000, 0.0000], [0.0000, 0.5000, 0.5000], [0.5000, 0.0000, 0.5000], [0.5000, 0.5000, 0.0000], [0.5000, 0.5000, 0.5000]], "volume_a3_per_cell": 114.2, "crystal_system": "tetragonal", "ef_ev_per_atom": 1.191}